1.
A plane-wave DFT calculation with GGA-PBE was carried out for Er2CdFe after structural relaxation.

Summary:
total moment = 0.00 μB/cell
Fermi-level density of states = 3.318 states/eV/cell
uncorrected energy = -4.76 eV per atom
E_form = -135 meV/atom
relative energy among the computed polymorphs = 0 meV/atom
space group = P4/mmm (123)

```
Er2CdFe
1.0
-0.6720 -2.5237 -2.0966
-0.6705 -1.9893 2.6094
-7.4167 2.1784 -0.2450
Cd Fe Er
1 1 2
Cartesian
-4.3796 -1.1673 0.1339
-0.6713 -2.2565 0.2564
-5.8866 1.7290 -0.1944
-1.5301 0.4494 -0.0505
```



2.
A plane-wave DFT calculation with GGA-PBE was carried out for Er4CdGa after structural relaxation.

Summary:
total moment = 0.00 μB/cell
Fermi-level density of states = 8.762 states/eV/cell
uncorrected energy = -3.76 eV per atom
E_form = -63 meV/atom
space group = P4/mmm (123)

```
Er4CdGa
1.0
4.9649 0.0000 -0.0019
-0.0002 4.9654 -0.0029
0.0029 0.0044 7.1926
Er Cd Ga
4 1 1
Cartesian
2.4893 4.9527 1.8314
2.4909 4.9552 5.3266
0.0087 2.4726 5.3290
0.0070 2.4701 1.8342
2.4917 2.4736 7.1766
0.0075 4.9545 3.5803
```



3.
A plane-wave DFT calculation with GGA-PBE was carried out for Er2CdGa9 after structural relaxation.

Summary:
total moment = 0.00 μB/cell
Fermi-level density of states = 4.279 states/eV/cell
uncorrected energy = -3.41 eV per atom
E_form = -300 meV/atom
space group = P4/mmm (123)

```
Er2CdGa9
1.0
-0.8577 0.5686 -4.1780
2.1013 -3.6388 -0.9266
-10.7094 -6.5184 1.3115
Er Cd Ga
2 1 9
Cartesian
-3.5667 -2.1709 0.4368
-7.1427 -4.3475 0.8747
0.0000 0.0000 0.0000
0.6218 -1.5351 -2.5523
-2.9894 -3.7331 -2.1100
-6.4765 -5.8555 -1.6830
-2.1526 -0.7649 -1.8779
-5.7836 -2.9749 -1.4332
-9.4146 -5.1849 -0.9886
-0.6731 -2.8685 -0.2522
-4.3041 -5.0786 0.1925
-7.9350 -7.2886 0.6372
```



4.
A plane-wave DFT calculation with GGA-PBE was carried out for Er2CdGa after structural relaxation.

Summary:
total moment = 0.00 μB/cell
Fermi-level density of states = 3.640 states/eV/cell
uncorrected energy = -3.19 eV per atom
E_form = 77 meV/atom
space group = R-3m (166)

```
Er2CdGa
1.0
3.4162 0.0000 0.0000
1.7081 2.9585 0.0000
1.7081 0.9862 11.0263
Cd Ga Er
1 1 2
Cartesian
3.4162 1.9724 5.5132
0.0000 0.0000 0.0000
1.7081 0.9862 8.0542
5.1243 2.9585 2.9721
```



5.
A plane-wave DFT calculation with GGA-PBE was carried out for ErCdGa after structural relaxation.

Summary:
total moment = 0.00 μB/cell
Fermi-level density of states = 0.767 states/eV/cell
uncorrected energy = -3.21 eV per atom
E_form = -377 meV/atom
relative energy among the computed polymorphs = 123 meV/atom
space group = F-43m (216)

```
ErCdGa
1.0
-4.2446 -0.3590 -1.9417
-0.4154 -1.0875 -4.5344
-1.6508 -4.1959 -1.2591
Cd Ga Er
1 1 1
Cartesian
-3.1554 -2.8212 -3.8676
-1.5777 -1.4106 -1.9338
0.0000 0.0000 0.0000
```



6.
A plane-wave DFT calculation with GGA-PBE was carried out for Er5Cd4Ga after structural relaxation.

Summary:
total moment = 0.00 μB/cell
Fermi-level density of states = 8.424 states/eV/cell
uncorrected energy = -3.32 eV per atom
E_form = -367 meV/atom
space group = P4/mmm (123)

```
Er5Cd4Ga
1.0
3.6720 0.0000 0.0000
0.0000 3.6720 0.0000
0.0000 0.0000 18.4405
Er Cd Ga
5 4 1
Cartesian
1.8360 1.8360 1.6965
1.8360 1.8360 5.4582
1.8360 1.8360 9.2202
1.8360 1.8360 12.9823
1.8360 1.8360 16.7440
0.0000 0.0000 3.6015
0.0000 0.0000 7.3335
0.0000 0.0000 11.1070
0.0000 0.0000 14.8390
0.0000 0.0000 0.0000
```



7.
A plane-wave DFT calculation with GGA-PBE was carried out for Er4CdGa12 after structural relaxation.

Summary:
total moment = 0.00 μB/cell
Fermi-level density of states = 8.555 states/eV/cell
uncorrected energy = -3.72 eV per atom
E_form = -451 meV/atom
space group = Im-3m (229)

```
Er4CdGa12
1.0
7.5584 0.0000 0.0000
-2.5195 7.1261 0.0000
-2.5195 -3.5631 6.1714
Er Cd Ga
4 1 12
Cartesian
-1.2597 -1.7815 3.0857
3.7792 0.0000 0.0000
1.2597 1.7815 3.0857
-1.2597 3.5631 0.0000
0.0000 0.0000 0.0000
-1.5732 1.1124 1.9268
-3.4657 2.4506 4.2446
3.4657 4.9013 0.0000
1.5732 2.2249 0.0000
1.5732 -1.1124 1.9268
3.4657 -2.4506 4.2446
1.2597 -0.8908 4.6286
1.2597 4.4538 1.5429
3.7792 0.0000 3.0857
-1.2597 3.5631 3.0857
3.7792 2.6723 1.5429
-1.2597 0.8908 4.6286
```



8.
A plane-wave DFT calculation with GGA-PBE was carried out for Er4CdGa2 after structural relaxation.

Summary:
total moment = 0.00 μB/cell
Fermi-level density of states = 4.731 states/eV/cell
uncorrected energy = -3.97 eV per atom
E_form = -370 meV/atom
relative energy among the computed polymorphs = 0 meV/atom
space group = R-3m (166)

```
Er4CdGa2
1.0
4.8002 0.0000 1.4997
2.1659 4.2838 1.4997
-0.0525 -0.0323 8.6001
Cd Ga Er
1 2 4
Cartesian
0.0000 0.0000 0.0000
5.1725 3.1809 8.7399
1.7410 1.0707 2.8596
6.0377 3.7129 5.9710
0.8759 0.5386 5.6286
4.2898 2.6381 3.1333
2.6237 1.6135 8.4662
```



9.
A plane-wave DFT calculation with GGA-PBE was carried out for ErCdGa after structural relaxation.

Summary:
total moment = 0.00 μB/cell
Fermi-level density of states = 3.130 states/eV/cell
uncorrected energy = -3.29 eV per atom
E_form = -452 meV/atom
relative energy among the computed polymorphs = 48 meV/atom
space group = C2/m (12)

```
ErCdGa
1.0
-0.8783 2.0497 -3.8622
-5.5065 -0.5610 -1.6204
-2.4847 5.4850 0.9011
Er Cd Ga
2 2 2
Cartesian
-4.0394 5.1804 -1.4819
-4.8300 1.7934 -3.0996
-6.3123 4.5361 -3.8818
-2.5571 2.4376 -0.6997
-1.9405 2.5471 -3.3568
-6.9290 4.4267 -1.2248
```



10.
A plane-wave DFT calculation with GGA-PBE was carried out for ErCdGa4 after structural relaxation.

Summary:
total moment = 0.00 μB/cell
Fermi-level density of states = 4.675 states/eV/cell
uncorrected energy = -3.12 eV per atom
E_form = -186 meV/atom
space group = F-43m (216)

```
ErCdGa4
1.0
5.5370 0.0000 0.0000
2.7685 4.7952 0.0000
2.7685 1.5984 4.5209
Cd Ga Er
1 4 1
Cartesian
0.0000 0.0000 0.0000
5.5370 3.1968 0.5693
5.5370 1.6023 2.8242
6.9178 3.9940 2.8242
4.1562 3.9940 2.8242
2.7685 1.5984 1.1302
```



11.
A plane-wave DFT calculation with GGA-PBE was carried out for Er3Cd2Ga2 after structural relaxation.

Summary:
total moment = 0.00 μB/cell
Fermi-level density of states = 5.617 states/eV/cell
uncorrected energy = -3.53 eV per atom
E_form = -449 meV/atom
space group = Cmmm (65)

```
Er3Cd2Ga2
1.0
-2.9295 -2.8699 -0.9634
2.4440 -1.9000 -1.7713
0.8868 -6.8882 8.6124
Er Cd Ga
3 2 2
Cartesian
-2.1497 -4.6782 2.0521
0.0000 0.0000 0.0000
0.1071 -5.0800 5.5969
0.2681 -8.4014 5.7911
0.1332 -3.2568 0.0866
-0.3752 -6.9095 3.3031
0.7765 -4.7487 2.5745
```



12.
A plane-wave DFT calculation with GGA-PBE was carried out for ErCdGa after structural relaxation.

Summary:
total moment = 0.00 μB/cell
Fermi-level density of states = 1.296 states/eV/cell
uncorrected energy = -3.33 eV per atom
E_form = -500 meV/atom
relative energy among the computed polymorphs = 0 meV/atom
space group = P-62m (189)

```
ErCdGa
1.0
7.2046 0.0000 0.0000
-3.6023 6.2394 0.0000
0.0000 0.0000 4.3858
Er Cd Ga
3 3 3
Cartesian
1.5295 2.6491 2.1929
4.1457 0.0000 2.1929
-2.0728 3.5903 2.1929
2.7031 4.6820 0.0000
1.7983 0.0000 0.0000
-0.8992 1.5574 0.0000
3.6023 2.0798 0.0000
0.0000 4.1596 0.0000
0.0000 0.0000 2.1929
```